[1]
PmPuTlIn GGA-PBE optimized geometry; symmetry = No. 216; energy of formation from the pure elements = -20.0 kJ/mol of atoms; total energy = -6.25 eV/atom
1.0
0.000 3.847 3.847
3.847 0.000 3.847
3.847 3.847 0.000
Pm Pu Tl In
1 1 1 1
direct
0.000 0.000 0.000
0.500 0.500 0.500
0.250 0.250 0.250
0.750 0.750 0.750

[2]
Tb6ErTmTh2 GGA-PBE optimized geometry; symmetry = No. 15; energy of formation from the pure elements = 14.2 kJ/mol of atoms; total energy = -5.02 eV/atom
1.0
4.459 -7.343 0.000
4.459 7.343 0.000
-2.217 0.000 9.866
Tb Er Tm Th
12 2 2 4
direct
0.021 0.576 0.178
0.114 0.739 0.552
0.261 0.886 0.948
0.307 0.507 0.383
0.424 0.979 0.322
0.493 0.693 0.117
0.507 0.307 0.883
0.576 0.021 0.678
0.693 0.493 0.617
0.739 0.114 0.052
0.886 0.261 0.448
0.979 0.424 0.822
0.010 0.990 0.250
0.990 0.010 0.750
0.403 0.597 0.750
0.597 0.403 0.250
0.183 0.272 0.044
0.272 0.183 0.544
0.728 0.817 0.456
0.817 0.728 0.956

[3]
BeAlPd6 GGA-PBE optimized geometry; symmetry = No. 2; energy of formation from the pure elements = -24.6 kJ/mol of atoms; total energy = -5.08 eV/atom
1.0
5.200 0.000 0.000
1.771 4.908 0.000
1.799 1.298 4.772
Be Al Pd
1 1 6
direct
0.000 0.000 0.000
0.500 0.500 0.500
0.009 0.466 0.762
0.235 0.989 0.544
0.464 0.761 0.013
0.536 0.239 0.987
0.765 0.011 0.456
0.991 0.534 0.238

[4]
TiMnGa GGA-PBE optimized geometry; symmetry = No. 139; energy of formation from the pure elements = -22.1 kJ/mol of atoms; total energy = -6.93 eV/atom
1.0
-1.843 1.843 6.552
1.843 -1.843 6.552
1.843 1.843 -6.552
Ti Mn Ga
2 2 2
direct
0.159 0.159 0.000
0.841 0.841 0.000
0.000 0.500 0.500
0.500 0.000 0.500
0.367 0.367 0.000
0.633 0.633 0.000

[5]
Y2CrOs GGA-PBE optimized geometry; symmetry = No. 166; energy of formation from the pure elements = 51.2 kJ/mol of atoms; total energy = -7.92 eV/atom; energy above the most stable polymorph in this dataset = 494.5 meV per atom
1.0
1.710 0.987 9.074
-1.710 0.987 9.074
0.000 -1.974 9.074
Y Cr Os
2 1 1
direct
0.242 0.242 0.242
0.758 0.758 0.758
0.000 0.000 0.000
0.500 0.500 0.500

[6]
LaTbNpN3 GGA-PBE optimized geometry; symmetry = No. 11; total energy = -8.96 eV/atom
1.0
7.352 0.000 0.000
0.000 3.665 0.000
-1.410 0.000 8.551
La Tb Np N
2 2 2 6
direct
0.172 0.250 0.144
0.828 0.750 0.856
0.368 0.750 0.851
0.632 0.250 0.149
0.058 0.250 0.590
0.942 0.750 0.410
0.108 0.250 0.847
0.219 0.750 0.585
0.397 0.750 0.122
0.603 0.250 0.878
0.781 0.250 0.415
0.892 0.750 0.153